Pm4Dy6Th | GGA-PBE | relaxed

Summary:
E_tot in Ry/atom: -0.351
Theoretical density in g/cm3: 8.21
E_form in eV/atom: 0.1348
V in Å³/atom: 32.86

Lattice parameters (Å, degrees): 5.8027 9.6417 25.8399 90.00 90.00 90.00
Space group Cmcm (No. 63)
One atom of each set of equivalent atoms:
Pm: 0.0000 0.0376 0.1226 [8 per cell]
Pm: 0.0000 0.3459 0.0432 [8 per cell]
Dy: 0.0000 0.0000 0.0000 [4 per cell]
Dy: 0.0000 0.0359 0.2500 [4 per cell]
Dy: 0.0000 0.3063 0.6028 [8 per cell]
Dy: 0.0000 0.3672 0.1836 [8 per cell]
Th: 0.0000 0.3011 0.7500 [4 per cell]


AcSm4Y15 | GGA-PBE | relaxed

Summary:
E_tot in Ry/atom: -0.439
Theoretical density in g/cm3: 5.43
E_form in eV/atom: 0.0284
V in Å³/atom: 33.08

Lattice parameters (Å, degrees): 5.1002 5.1002 25.4314 90.00 90.00 90.00
Space group P4/mmm (No. 123)
One atom of each set of equivalent atoms:
Ac: 0.0000 0.0000 0.0000 [1 per cell]
Sm: 0.0000 0.0000 0.2024 [2 per cell]
Sm: 0.0000 0.0000 0.4010 [2 per cell]
Y: 0.0000 0.5000 0.1043 [4 per cell]
Y: 0.0000 0.5000 0.3020 [4 per cell]
Y: 0.0000 0.5000 0.5000 [2 per cell]
Y: 0.5000 0.5000 0.0000 [1 per cell]
Y: 0.5000 0.5000 0.2031 [2 per cell]
Y: 0.5000 0.5000 0.4010 [2 per cell]


ScSnB3 | GGA-PBE | relaxed

Summary:
E_tot in Ry/atom: -0.320
Theoretical density in g/cm3: 3.80
E_form in eV/atom: 1.7144
V in Å³/atom: 17.14
Energy relative to the lowest polymorph listed for this composition in meV per atom: 0

Lattice parameters (Å, degrees): 4.4085 4.4085 4.4085 90.00 90.00 90.00
Space group Pm-3m (No. 221)
One atom of each set of equivalent atoms:
Sc: 0.0000 0.0000 0.0000 [1 per cell]
Sn: 0.5000 0.5000 0.5000 [1 per cell]
B: 0.0000 0.5000 0.5000 [3 per cell]


PuGa3Ru | GGA-PBE | relaxed

Summary:
E_tot in Ry/atom: -0.496
Theoretical density in g/cm3: 8.66
E_form in eV/atom: -0.2155
V in Å³/atom: 21.26
Energy relative to the lowest polymorph listed for this composition in meV per atom: 0

Lattice parameters (Å, degrees): 4.7370 4.7370 4.7370 90.00 90.00 90.00
Space group Pm-3m (No. 221)
One atom of each set of equivalent atoms:
Pu: 0.0000 0.0000 0.0000 [1 per cell]
Ga: 0.0000 0.5000 0.5000 [3 per cell]
Ru: 0.5000 0.5000 0.5000 [1 per cell]


Ca2CdPb5 | GGA-PBE | relaxed

Summary:
E_tot in Ry/atom: -0.238
Theoretical density in g/cm3: 8.70
E_form in eV/atom: -0.3095
V in Å³/atom: 29.31

Lattice parameters (Å, degrees): 7.0703 13.6833 4.8469 90.00 90.00 90.00
Space group Pbam (No. 55)
One atom of each set of equivalent atoms:
Ca: 0.2333 0.1273 0.0000 [4 per cell]
Cd: 0.0000 0.5000 0.5000 [2 per cell]
Pb: 0.0000 0.0000 0.5000 [2 per cell]
Pb: 0.0231 0.7481 0.5000 [4 per cell]
Pb: 0.2284 0.3806 0.0000 [4 per cell]


PuHf2Co | GGA-PBE | relaxed

Summary:
E_tot in Ry/atom: -0.739
Theoretical density in g/cm3: 12.58
E_form in eV/atom: 0.2840
V in Å³/atom: 21.78
Energy relative to the lowest polymorph listed for this composition in meV per atom: 387

Lattice parameters (Å, degrees): 3.2148 3.2148 29.2060 90.00 90.00 120.00
Space group R-3m (No. 166, hexagonal axes)
One atom of each set of equivalent atoms:
Pu: 0.0000 0.0000 0.0000 [3 per cell]
Hf: 0.0000 0.0000 0.1073 [6 per cell]
Co: 0.0000 0.0000 0.5000 [3 per cell]


Cu3RhF | GGA-PBE | relaxed

Summary:
E_tot in Ry/atom: -0.298
Theoretical density in g/cm3: 7.86
ΔE_f (raw) in eV per atom: 0.253
V in Å³/atom: 13.21
Energy relative to the lowest polymorph listed for this composition in meV per atom: 0

Lattice parameters (Å, degrees): 4.0421 4.0421 4.0421 90.00 90.00 90.00
Space group Pm-3m (No. 221)
One atom of each set of equivalent atoms:
Cu: 0.0000 0.0000 0.5000 [3 per cell]
Rh: 0.5000 0.5000 0.5000 [1 per cell]
F: 0.0000 0.0000 0.0000 [1 per cell]


K2HgTeSe | GGA-PBE | relaxed

Summary:
E_tot in Ry/atom: -0.193
Theoretical density in g/cm3: 4.13
ΔE_f (raw) in eV per atom: -0.806
V in Å³/atom: 39.06
Energy relative to the lowest polymorph listed for this composition in meV per atom: 0

Lattice parameters (Å, degrees): 8.5188 4.6120 10.4193 90.00 107.41 90.00
Space group P2_1/m (No. 11)
One atom of each set of equivalent atoms:
K: 0.1793 0.2500 0.3942 [2 per cell]
K: 0.2029 0.2500 0.9616 [2 per cell]
Hg: 0.4909 0.2500 0.7417 [2 per cell]
Te: 0.2826 0.7500 0.6961 [2 per cell]
Se: 0.1953 0.7500 0.1810 [2 per cell]